A relaxed structure of POs3W. Source: Alexandria via LeMat-Bulk, functional GGA-PBE.

Geometry as POSCAR:
```
POs3W
1.0
4.718 0.000 0.000
0.000 4.718 0.000
0.000 0.000 4.718
P Os W
1 3 1
Cartesian
0.000 0.000 0.000
0.000 2.359 2.359
2.359 0.000 2.359
2.359 2.359 0.000
2.359 2.359 2.359
```

Summary:
- final energy (eV/atom) = -7.841
- relative energy among the computed polymorphs (meV/atom) = 1409
- calculated formation energy (meV/atom) = 2569